Entry 1:
Entry from Alexandria: crystalline DyScRu2 at its relaxed geometry (GGA-PBE).

The calculation puts the total energy at -31.15 eV per formula unit. The total magnetization is 0.000 μB/f.u.

Lattice parameters (Å, degrees): 4.671 4.671 4.671 60.00 60.00 60.00
Element x y z (fractional)
Dy (0.000, 0.000, 0.000)
Sc (0.500, 0.500, 0.500)
Ru (0.250, 0.250, 0.250)
Ru (0.750, 0.750, 0.750)

Entry 2:
Entry from Alexandria: crystalline Nd2InGa3Cu4 at its relaxed geometry (GGA-PBE).

The calculation puts the total energy at -41.71 eV per formula unit. The total magnetization is 0.000 μB/f.u.

Lattice parameters (Å, degrees): 4.282 4.282 10.298 90.00 90.00 90.00
Element x y z (fractional)
Nd (0.000, 0.500, 0.235)
Nd (0.500, 0.000, 0.765)
In (0.000, 0.000, 0.500)
Ga (0.000, 0.500, 0.877)
Ga (0.500, 0.000, 0.123)
Ga (0.500, 0.500, 0.500)
Cu (0.000, 0.000, 0.000)
Cu (0.000, 0.500, 0.644)
Cu (0.500, 0.000, 0.356)
Cu (0.500, 0.500, 0.000)

Entry 3:
Entry from Alexandria: crystalline Rb2Be3Zn2F12 at its relaxed geometry (GGA-PBE).

The calculation puts the total energy at -93.50 eV per formula unit. The total magnetization is 0.000 μB/f.u.

Lattice parameters (Å, degrees): 10.196 10.196 10.196 90.00 90.00 90.00
Element x y z (fractional)
Rb (0.044, 0.044, 0.044)
Rb (0.187, 0.313, 0.687)
Rb (0.313, 0.687, 0.187)
Rb (0.456, 0.956, 0.544)
Rb (0.544, 0.456, 0.956)
Rb (0.687, 0.187, 0.313)
Rb (0.813, 0.813, 0.813)
Rb (0.956, 0.544, 0.456)
Be (0.022, 0.211, 0.376)
Be (0.124, 0.978, 0.711)
Be (0.211, 0.376, 0.022)
Be (0.289, 0.624, 0.522)
Be (0.376, 0.022, 0.211)
Be (0.478, 0.789, 0.876)
Be (0.522, 0.289, 0.624)
Be (0.624, 0.522, 0.289)
Be (0.711, 0.124, 0.978)
Be (0.789, 0.876, 0.478)
Be (0.876, 0.478, 0.789)
Be (0.978, 0.711, 0.124)
Zn (0.100, 0.900, 0.400)
Zn (0.165, 0.665, 0.835)
Zn (0.335, 0.335, 0.335)
Zn (0.400, 0.100, 0.900)
Zn (0.600, 0.600, 0.600)
Zn (0.665, 0.835, 0.165)
Zn (0.835, 0.165, 0.665)
Zn (0.900, 0.400, 0.100)
F (0.005, 0.559, 0.767)
F (0.012, 0.066, 0.328)
F (0.046, 0.802, 0.229)
F (0.059, 0.733, 0.995)
F (0.066, 0.328, 0.012)
F (0.097, 0.834, 0.752)
F (0.166, 0.252, 0.403)
F (0.172, 0.988, 0.566)
F (0.198, 0.729, 0.454)
F (0.229, 0.046, 0.802)
F (0.233, 0.505, 0.941)
F (0.248, 0.597, 0.666)
F (0.252, 0.403, 0.166)
F (0.267, 0.495, 0.441)
F (0.271, 0.954, 0.302)
F (0.302, 0.271, 0.954)
F (0.328, 0.012, 0.066)
F (0.334, 0.748, 0.903)
F (0.403, 0.166, 0.252)
F (0.434, 0.672, 0.512)
F (0.441, 0.267, 0.495)
F (0.454, 0.198, 0.729)
F (0.488, 0.934, 0.828)
F (0.495, 0.441, 0.267)
F (0.505, 0.941, 0.233)
F (0.512, 0.434, 0.672)
F (0.546, 0.698, 0.771)
F (0.559, 0.767, 0.005)
F (0.566, 0.172, 0.988)
F (0.597, 0.666, 0.248)
F (0.666, 0.248, 0.597)
F (0.672, 0.512, 0.434)
F (0.698, 0.771, 0.546)
F (0.729, 0.454, 0.198)
F (0.733, 0.995, 0.059)
F (0.748, 0.903, 0.334)
F (0.752, 0.097, 0.834)
F (0.767, 0.005, 0.559)
F (0.771, 0.546, 0.698)
F (0.802, 0.229, 0.046)
F (0.828, 0.488, 0.934)
F (0.834, 0.752, 0.097)
F (0.903, 0.334, 0.748)
F (0.934, 0.828, 0.488)
F (0.941, 0.233, 0.505)
F (0.954, 0.302, 0.271)
F (0.988, 0.566, 0.172)
F (0.995, 0.059, 0.733)

Entry 4:
Entry from Alexandria: crystalline ZnPd4Pt5 at its relaxed geometry (GGA-PBE).

The calculation puts the total energy at -53.79 eV per formula unit. The total magnetization is 0.000 μB/f.u.

Lattice parameters (Å, degrees): 2.793 2.793 19.579 90.00 90.00 90.00
Element x y z (fractional)
Zn (0.000, 0.000, 0.000)
Pd (0.000, 0.000, 0.196)
Pd (0.000, 0.000, 0.399)
Pd (0.000, 0.000, 0.601)
Pd (0.000, 0.000, 0.804)
Pt (0.500, 0.500, 0.093)
Pt (0.500, 0.500, 0.298)
Pt (0.500, 0.500, 0.500)
Pt (0.500, 0.500, 0.702)
Pt (0.500, 0.500, 0.907)

Entry 5:
Entry from Alexandria: crystalline LiCa3Ag4 at its relaxed geometry (GGA-PBE).

The calculation puts the total energy at -21.49 eV per formula unit. The total magnetization is 0.000 μB/f.u.

Lattice parameters (Å, degrees): 3.618 3.618 14.316 90.00 90.00 90.00
Element x y z (fractional)
Li (0.000, 0.000, 0.000)
Ca (0.000, 0.000, 0.233)
Ca (0.000, 0.000, 0.500)
Ca (0.000, 0.000, 0.767)
Ag (0.500, 0.500, 0.099)
Ag (0.500, 0.500, 0.366)
Ag (0.500, 0.500, 0.634)
Ag (0.500, 0.500, 0.901)

Entry 6:
Entry from Alexandria: crystalline CsSeF3 at its relaxed geometry (GGA-PBE).

For the distance to the lowest polymorph of the same formula, the calculation gives 0.317 eV/atom. The total magnetization is 0.000 μB/f.u.

Lattice parameters (Å, degrees): 4.588 4.588 4.588 90.00 90.00 90.00
Element x y z (fractional)
Cs (0.000, 0.000, 0.000)
Se (0.500, 0.500, 0.500)
F (0.000, 0.500, 0.500)
F (0.500, 0.000, 0.500)
F (0.500, 0.500, 0.000)

Entry 7:
Entry from Alexandria: crystalline AcPd3PbAu at its relaxed geometry (GGA-PBE).

The calculation puts the total energy at -29.25 eV per formula unit. The total magnetization is 0.000 μB/f.u.

Lattice parameters (Å, degrees): 6.949 6.949 7.465 90.00 90.00 128.93
Element x y z (fractional)
Ac (0.165, 0.835, 0.750)
Ac (0.835, 0.165, 0.250)
Pd (0.239, 0.239, 0.000)
Pd (0.239, 0.239, 0.500)
Pd (0.360, 0.640, 0.250)
Pd (0.640, 0.360, 0.750)
Pd (0.761, 0.761, 0.000)
Pd (0.761, 0.761, 0.500)
Pb (0.137, 0.863, 0.250)
Pb (0.863, 0.137, 0.750)
Au (0.406, 0.594, 0.750)
Au (0.594, 0.406, 0.250)

Entry 8:
Entry from Alexandria: crystalline In2PbS3 at its relaxed geometry (GGA-PBE).

For the distance to the lowest polymorph of the same formula, the calculation gives 0.064 eV/atom. The total magnetization is 0.000 μB/f.u.

Lattice parameters (Å, degrees): 3.961 11.120 6.750 90.00 90.00 90.00
Element x y z (fractional)
In (0.000, 0.022, 0.000)
In (0.000, 0.978, 0.500)
In (0.500, 0.290, 0.531)
In (0.500, 0.710, 0.031)
Pb (0.500, 0.418, 0.097)
Pb (0.500, 0.582, 0.597)
S (0.000, 0.184, 0.284)
S (0.000, 0.403, 0.786)
S (0.000, 0.597, 0.286)
S (0.000, 0.816, 0.784)
S (0.500, 0.090, 0.743)
S (0.500, 0.910, 0.243)

> Look up the total magnetization of the fourth one.

0.000 μB/f.u.